Entry 1:
# GGA-PBE BaReW, optimized geometry
data_BaReW
_chemical_formula_sum 'Ba1 Re1 W1'
_cell_length_a 4.6789
_cell_length_b 4.6789
_cell_length_c 4.6789
_cell_angle_alpha 60.00
_cell_angle_beta 60.00
_cell_angle_gamma 60.00
_symmetry_space_group_name_H-M 'P 1'
_symmetry_Int_Tables_number 1
loop_
_symmetry_equiv_pos_as_xyz
'x,y,z'
loop_
_atom_site_label
_atom_site_type_symbol
_atom_site_fract_x
_atom_site_fract_y
_atom_site_fract_z
_atom_site_occupancy
W1 W 0.5000 0.5000 0.5000 1
Ba1 Ba 0.7500 0.7500 0.7500 1
Re1 Re 0.0000 0.0000 0.0000 1
# Energy of formation, eV per atom: 3.1561
# Volume, A^3/atom: 24.14
# ΔE to the lowest computed polymorph, kJ/mol of formula units: 685
# Space-group type: No. 216
# N(E_F), states/eV/cell: 4.21

***

Entry 2:
# GGA-PBE BaRe2W, optimized geometry
data_BaRe2W
_chemical_formula_sum 'Ba1 Re2 W1'
_cell_length_a 5.0871
_cell_length_b 5.0871
_cell_length_c 6.4064
_cell_angle_alpha 77.56
_cell_angle_beta 77.56
_cell_angle_gamma 36.12
_symmetry_space_group_name_H-M 'P 1'
_symmetry_Int_Tables_number 1
loop_
_symmetry_equiv_pos_as_xyz
'x,y,z'
loop_
_atom_site_label
_atom_site_type_symbol
_atom_site_fract_x
_atom_site_fract_y
_atom_site_fract_z
_atom_site_occupancy
Re1 Re 0.7481 0.7481 0.7562 1
Re2 Re 0.0350 0.0350 0.8783 1
W1 W 0.4608 0.4608 0.6215 1
Ba1 Ba 0.2560 0.2560 0.2440 1
# Energy of formation, eV per atom: 0.9112
# Volume, A^3/atom: 23.80
# ΔE to the lowest computed polymorph, kJ/mol of formula units: 64
# Space-group type: No. 8
# N(E_F), states/eV/cell: 3.48

***

Entry 3:
# GGA-PBE BaRe2W, optimized geometry
data_BaRe2W
_chemical_formula_sum 'Ba1 Re2 W1'
_cell_length_a 4.7222
_cell_length_b 4.7222
_cell_length_c 4.7222
_cell_angle_alpha 60.00
_cell_angle_beta 60.00
_cell_angle_gamma 60.00
_symmetry_space_group_name_H-M 'P 1'
_symmetry_Int_Tables_number 1
loop_
_symmetry_equiv_pos_as_xyz
'x,y,z'
loop_
_atom_site_label
_atom_site_type_symbol
_atom_site_fract_x
_atom_site_fract_y
_atom_site_fract_z
_atom_site_occupancy
Re1 Re 0.0000 0.0000 0.0000 1
W1 W 0.7500 0.7500 0.7500 1
Ba1 Ba 0.5000 0.5000 0.5000 1
Re2 Re 0.2500 0.2500 0.2500 1
# Energy of formation, eV per atom: 1.4723
# Volume, A^3/atom: 18.61
# ΔE to the lowest computed polymorph, kJ/mol of formula units: 280
# Space-group type: No. 216
# N(E_F), states/eV/cell: 4.45

***

Entry 4:
# GGA-PBE BaRe2W, optimized geometry
data_BaRe2W
_chemical_formula_sum 'Ba1 Re2 W1'
_cell_length_a 4.2017
_cell_length_b 2.9106
_cell_length_c 7.3413
_cell_angle_alpha 81.28
_cell_angle_beta 90.00
_cell_angle_gamma 90.00
_symmetry_space_group_name_H-M 'P 1'
_symmetry_Int_Tables_number 1
loop_
_symmetry_equiv_pos_as_xyz
'x,y,z'
loop_
_atom_site_label
_atom_site_type_symbol
_atom_site_fract_x
_atom_site_fract_y
_atom_site_fract_z
_atom_site_occupancy
W1 W 0.5000 0.2500 0.2500 1
Ba1 Ba 0.5000 0.7500 0.7500 1
Re1 Re 0.0000 0.9628 0.0908 1
Re2 Re 0.0000 0.5372 0.4092 1
# Energy of formation, eV per atom: 0.8879
# Volume, A^3/atom: 22.19
# ΔE to the lowest computed polymorph, kJ/mol of formula units: 55
# Space-group type: No. 10
# N(E_F), states/eV/cell: 4.55

***

Entry 5:
# GGA-PBE BaY2Re, optimized geometry
data_BaY2Re
_chemical_formula_sum 'Ba1 Y2 Re1'
_cell_length_a 10.8645
_cell_length_b 10.8645
_cell_length_c 10.8645
_cell_angle_alpha 19.86
_cell_angle_beta 19.86
_cell_angle_gamma 19.86
_symmetry_space_group_name_H-M 'P 1'
_symmetry_Int_Tables_number 1
loop_
_symmetry_equiv_pos_as_xyz
'x,y,z'
loop_
_atom_site_label
_atom_site_type_symbol
_atom_site_fract_x
_atom_site_fract_y
_atom_site_fract_z
_atom_site_occupancy
Y1 Y 0.4751 0.4751 0.4751 1
Ba1 Ba 0.2500 0.2500 0.2500 1
Y2 Y 0.0249 0.0249 0.0249 1
Re1 Re 0.7500 0.7500 0.7500 1
# Energy of formation, eV per atom: 0.4636
# Volume, A^3/atom: 32.38
# ΔE to the lowest computed polymorph, kJ/mol of formula units: 92
# Space-group type: No. 166
# N(E_F), states/eV/cell: 4.17

***

Entry 6:
# GGA-PBE BaYRe, optimized geometry
data_BaYRe
_chemical_formula_sum 'Ba1 Y1 Re1'
_cell_length_a 3.5939
_cell_length_b 3.5939
_cell_length_c 8.0847
_cell_angle_alpha 90.00
_cell_angle_beta 90.00
_cell_angle_gamma 120.00
_symmetry_space_group_name_H-M 'P 1'
_symmetry_Int_Tables_number 1
loop_
_symmetry_equiv_pos_as_xyz
'x,y,z'
loop_
_atom_site_label
_atom_site_type_symbol
_atom_site_fract_x
_atom_site_fract_y
_atom_site_fract_z
_atom_site_occupancy
Y1 Y 0.6667 0.3333 0.5913 1
Re1 Re 0.3333 0.6667 0.3512 1
Ba1 Ba 0.0000 0.0000 0.0575 1
# Energy of formation, eV per atom: 0.8863
# Volume, A^3/atom: 30.14
# ΔE to the lowest computed polymorph, kJ/mol of formula units: 65
# Space-group type: No. 156
# N(E_F), states/eV/cell: 3.49

***

Entry 7:
# GGA-PBE BaYRe, optimized geometry
data_BaYRe
_chemical_formula_sum 'Ba1 Y1 Re1'
_cell_length_a 4.9325
_cell_length_b 4.9325
_cell_length_c 4.9325
_cell_angle_alpha 60.00
_cell_angle_beta 60.00
_cell_angle_gamma 60.00
_symmetry_space_group_name_H-M 'P 1'
_symmetry_Int_Tables_number 1
loop_
_symmetry_equiv_pos_as_xyz
'x,y,z'
loop_
_atom_site_label
_atom_site_type_symbol
_atom_site_fract_x
_atom_site_fract_y
_atom_site_fract_z
_atom_site_occupancy
Re1 Re 0.0000 0.0000 0.0000 1
Y1 Y 0.5000 0.5000 0.5000 1
Ba1 Ba 0.7500 0.7500 0.7500 1
# Energy of formation, eV per atom: 1.8078
# Volume, A^3/atom: 28.29
# ΔE to the lowest computed polymorph, kJ/mol of formula units: 332
# Space-group type: No. 216
# N(E_F), states/eV/cell: 3.46

***

Entry 8:
# GGA-PBE Ba3YRe, optimized geometry
data_Ba3YRe
_chemical_formula_sum 'Ba3 Y1 Re1'
_cell_length_a 6.0255
_cell_length_b 6.0255
_cell_length_c 6.0255
_cell_angle_alpha 90.00
_cell_angle_beta 90.00
_cell_angle_gamma 90.00
_symmetry_space_group_name_H-M 'P 1'
_symmetry_Int_Tables_number 1
loop_
_symmetry_equiv_pos_as_xyz
'x,y,z'
loop_
_atom_site_label
_atom_site_type_symbol
_atom_site_fract_x
_atom_site_fract_y
_atom_site_fract_z
_atom_site_occupancy
Ba1 Ba 0.0000 0.0000 0.5000 1
Y1 Y 0.5000 0.5000 0.5000 1
Re1 Re 0.0000 0.0000 0.0000 1
Ba2 Ba 0.5000 0.0000 0.0000 1
Ba3 Ba 0.0000 0.5000 0.0000 1
# Energy of formation, eV per atom: 0.9164
# Volume, A^3/atom: 43.75
# ΔE to the lowest computed polymorph, kJ/mol of formula units: 0
# Space-group type: No. 221
# N(E_F), states/eV/cell: 8.56

***

Entry 9:
# GGA-PBE BaY2Re, optimized geometry
data_BaY2Re
_chemical_formula_sum 'Ba1 Y2 Re1'
_cell_length_a 5.6086
_cell_length_b 5.6086
_cell_length_c 5.6086
_cell_angle_alpha 127.09
_cell_angle_beta 127.09
_cell_angle_gamma 78.11
_symmetry_space_group_name_H-M 'P 1'
_symmetry_Int_Tables_number 1
loop_
_symmetry_equiv_pos_as_xyz
'x,y,z'
loop_
_atom_site_label
_atom_site_type_symbol
_atom_site_fract_x
_atom_site_fract_y
_atom_site_fract_z
_atom_site_occupancy
Y1 Y 0.2500 0.7500 0.5000 1
Re1 Re 0.7500 0.2500 0.5000 1
Y2 Y 0.0000 0.0000 0.0000 1
Ba1 Ba 0.5000 0.5000 0.0000 1
# Energy of formation, eV per atom: 0.7962
# Volume, A^3/atom: 27.19
# ΔE to the lowest computed polymorph, kJ/mol of formula units: 220
# Space-group type: No. 119
# N(E_F), states/eV/cell: 4.86

***

Entry 10:
# GGA-PBE BaY2Re, optimized geometry
data_BaY2Re
_chemical_formula_sum 'Ba2 Y4 Re2'
_cell_length_a 8.1985
_cell_length_b 8.1985
_cell_length_c 8.2171
_cell_angle_alpha 60.08
_cell_angle_beta 60.08
_cell_angle_gamma 90.00
_symmetry_space_group_name_H-M 'P 1'
_symmetry_Int_Tables_number 1
loop_
_symmetry_equiv_pos_as_xyz
'x,y,z'
loop_
_atom_site_label
_atom_site_type_symbol
_atom_site_fract_x
_atom_site_fract_y
_atom_site_fract_z
_atom_site_occupancy
Y1 Y 0.8750 0.1250 0.7500 1
Y2 Y 0.8750 0.6250 0.2500 1
Y3 Y 0.3750 0.1250 0.7500 1
Ba1 Ba 0.5000 0.5000 0.0000 1
Re1 Re 0.0000 0.0000 0.0000 1
Re2 Re 0.7500 0.2500 0.5000 1
Y4 Y 0.8750 0.1250 0.2500 1
Ba2 Ba 0.2500 0.7500 0.5000 1
# Energy of formation, eV per atom: 0.8793
# Volume, A^3/atom: 48.93
# ΔE to the lowest computed polymorph, kJ/mol of formula units: 252
# Space-group type: No. 141
# N(E_F), states/eV/cell: 8.43

***

Entry 11:
# GGA-PBE BaY2Re, optimized geometry
data_BaY2Re
_chemical_formula_sum 'Ba1 Y2 Re1'
_cell_length_a 5.4951
_cell_length_b 5.4951
_cell_length_c 7.6066
_cell_angle_alpha 69.76
_cell_angle_beta 69.76
_cell_angle_gamma 40.36
_symmetry_space_group_name_H-M 'P 1'
_symmetry_Int_Tables_number 1
loop_
_symmetry_equiv_pos_as_xyz
'x,y,z'
loop_
_atom_site_label
_atom_site_type_symbol
_atom_site_fract_x
_atom_site_fract_y
_atom_site_fract_z
_atom_site_occupancy
Ba1 Ba 0.5795 0.5795 0.4632 1
Y1 Y 0.9427 0.9427 0.1098 1
Re1 Re 0.2312 0.2312 0.0988 1
Y2 Y 0.7467 0.7467 0.8282 1
# Energy of formation, eV per atom: 0.4510
# Volume, A^3/atom: 34.57
# ΔE to the lowest computed polymorph, kJ/mol of formula units: 87
# Space-group type: No. 8
# N(E_F), states/eV/cell: 3.95

***

Entry 12:
# GGA-PBE BaY2Re, optimized geometry
data_BaY2Re
_chemical_formula_sum 'Ba1 Y2 Re1'
_cell_length_a 5.0944
_cell_length_b 5.0944
_cell_length_c 4.1783
_cell_angle_alpha 90.00
_cell_angle_beta 90.00
_cell_angle_gamma 94.41
_symmetry_space_group_name_H-M 'P 1'
_symmetry_Int_Tables_number 1
loop_
_symmetry_equiv_pos_as_xyz
'x,y,z'
loop_
_atom_site_label
_atom_site_type_symbol
_atom_site_fract_x
_atom_site_fract_y
_atom_site_fract_z
_atom_site_occupancy
Y1 Y 0.0000 0.0000 0.0000 1
Y2 Y 0.5000 0.5000 0.0000 1
Ba1 Ba 0.5000 0.0000 0.5000 1
Re1 Re 0.0000 0.5000 0.5000 1
# Energy of formation, eV per atom: 0.7893
# Volume, A^3/atom: 27.03
# ΔE to the lowest computed polymorph, kJ/mol of formula units: 218
# Space-group type: No. 65
# N(E_F), states/eV/cell: 5.00